[1]
# BaFe2Re

A relaxed structure of BaFe2Re (PBE, Alexandria).

The structure in POSCAR format:
```
BaFe2Re
1.0
3.719 0.000 0.000
0.000 3.596 0.091
0.000 1.306 6.481
Re Fe Ba
1 2 1
Direct
0.000 0.543 0.317
0.500 0.061 0.303
0.000 0.133 0.097
0.500 0.764 0.783
```

Output
Its formation energy is 78.9 kJ/mol of atoms. As for the total energy: -28.03 eV per formula unit. The energy above the lowest structure with this stoichiometry is 1.385 eV/f.u. The value obtained for the density of states at the Fermi level is 4.44 states/eV/cell.

[2]
# YHoAs2

A relaxed structure of YHoAs2 (PBE, Alexandria).

The structure in POSCAR format:
```
YHoAs2
1.0
4.074 0.000 0.000
2.037 3.528 0.000
2.037 1.176 6.995
As Ho Y
2 1 1
Direct
0.081 0.081 0.756
0.252 0.252 0.245
0.669 0.669 0.993
0.498 0.498 0.507
```

Output
Its formation energy is -134.4 kJ/mol of atoms. As for the total energy: -25.91 eV per formula unit. The energy above the lowest structure with this stoichiometry is 0.611 eV/f.u. The value obtained for the density of states at the Fermi level is 0.39 states/eV/cell.

[3]
# Ce3Ga2Cu4

A relaxed structure of Ce3Ga2Cu4 (PBE, Alexandria).

The structure in POSCAR format:
```
Ce3Ga2Cu4
1.0
-1.108 -2.116 -3.738
0.816 -3.495 4.369
-7.511 3.630 0.172
Cu Ga Ce
4 2 3
Direct
0.278 0.556 0.947
0.722 0.444 0.053
0.086 0.172 0.414
0.914 0.828 0.586
0.359 0.718 0.701
0.641 0.282 0.299
0.358 0.715 0.332
0.000 0.000 0.000
0.642 0.285 0.668
```

Output
Its formation energy is -30.5 kJ/mol of atoms. As for the total energy: -43.09 eV per formula unit. The value obtained for the density of states at the Fermi level is 13.42 states/eV/cell.

- The lowest total energy belongs to which entry?
  Ce3Ga2Cu4